(1)
# Sr2Mg4HgPb3

Crystalline Sr2Mg4HgPb3 at its relaxed geometry (GGA-PBE, Alexandria).

Unit cell a=4.7986 b=4.7986 c=12.5888 alpha=90.00 beta=90.00 gamma=90.00
With the nearest neighbours (Å) after each atom.
Space group P-4m2 (No. 115)
Inequivalent atoms, fractional coordinates:
Sr: 0.0000 0.5000 0.2480 [2 per cell]  6 Pb 3.67-3.94, 8 Mg 3.69-3.98, 2 Hg 3.94
Mg: 0.0000 0.0000 0.5000 [1 per cell]  4 Pb 2.98
Mg: 0.0000 0.5000 0.8671 [2 per cell]  3 Pb 2.85-2.93, 2 Hg 2.93
Mg: 0.5000 0.5000 0.5000 [1 per cell]  4 Pb 2.98
Hg: 0.5000 0.5000 0.0000 [1 per cell]  4 Mg 2.93
Pb: 0.0000 0.0000 0.0000 [1 per cell]  4 Mg 2.93
Pb: 0.0000 0.5000 0.6410 [2 per cell]  5 Mg 2.85-2.98

Summary:
Density (g/cm³): 6.27
ΔH_f (0 K) (eV per formula unit): -3.13

***

(2)
# SrMgHgPb

Crystalline SrMgHgPb at its relaxed geometry (GGA-PBE, Alexandria).

Unit cell a=7.6941 b=7.6941 c=7.6941 alpha=90.00 beta=90.00 gamma=90.00
With the nearest neighbours (Å) after each atom.
Space group F-43m (No. 216)
Inequivalent atoms, fractional coordinates:
Sr: 0.0000 0.0000 0.0000 [4 per cell]  4 Hg 3.33, 4 Pb 3.33
Mg: 0.0000 0.0000 0.5000 [4 per cell]  4 Hg 3.33, 4 Pb 3.33
Hg: 0.2500 0.2500 0.2500 [4 per cell]  4 Mg 3.33, 4 Sr 3.33
Pb: 0.2500 0.2500 0.7500 [4 per cell]  4 Mg 3.33, 4 Sr 3.33

Summary:
Density (g/cm³): 7.58
ΔH_f (0 K) (eV per formula unit): -1.56

***

(3)
# TbMgHgPb

Crystalline TbMgHgPb at its relaxed geometry (GGA-PBE, Alexandria).

Unit cell a=7.4080 b=7.4080 c=7.4080 alpha=90.00 beta=90.00 gamma=90.00
With the nearest neighbours (Å) after each atom.
Space group F-43m (No. 216)
Inequivalent atoms, fractional coordinates:
Tb: 0.0000 0.0000 0.0000 [4 per cell]  4 Hg 3.21, 4 Pb 3.21
Mg: 0.0000 0.0000 0.5000 [4 per cell]  4 Hg 3.21, 4 Pb 3.21
Hg: 0.2500 0.2500 0.7500 [4 per cell]  4 Tb 3.21, 4 Mg 3.21
Pb: 0.2500 0.2500 0.2500 [4 per cell]  4 Tb 3.21, 4 Mg 3.21

Summary:
Density (g/cm³): 9.66
Energy above the lowest structure with this stoichiometry (eV/f.u.): 0.284
ΔH_f (0 K) (eV per formula unit): -1.24

***

(4)
# TbMgHgPb

Crystalline TbMgHgPb at its relaxed geometry (GGA-PBE, Alexandria).

Unit cell a=4.2660 b=4.7638 c=4.9680 alpha=90.00 beta=90.00 gamma=90.00
With the nearest neighbours (Å) after each atom.
Space group Pmmm (No. 47)
Inequivalent atoms, fractional coordinates:
Tb: 0.0000 0.0000 0.0000 [1 per cell]  4 Pb 3.20, 4 Hg 3.27, 4 Mg 3.44
Mg: 0.0000 0.5000 0.5000 [1 per cell]  4 Hg 3.20, 4 Pb 3.27, 4 Tb 3.44
Hg: 0.5000 0.0000 0.5000 [1 per cell]  4 Mg 3.20, 4 Tb 3.27, 4 Pb 3.44
Pb: 0.5000 0.5000 0.0000 [1 per cell]  4 Tb 3.20, 4 Mg 3.27, 4 Hg 3.44

Summary:
Density (g/cm³): 9.72
Energy above the lowest structure with this stoichiometry (eV/f.u.): 0.000
ΔH_f (0 K) (eV per formula unit): -1.53

***

(5)
# ThMgHgPb

Crystalline ThMgHgPb at its relaxed geometry (GGA-PBE, Alexandria).

Unit cell a=7.5290 b=7.5290 c=7.5290 alpha=90.00 beta=90.00 gamma=90.00
With the nearest neighbours (Å) after each atom.
Space group F-43m (No. 216)
Inequivalent atoms, fractional coordinates:
Th: 0.0000 0.0000 0.0000 [4 per cell]  4 Hg 3.26, 4 Pb 3.26
Mg: 0.0000 0.0000 0.5000 [4 per cell]  4 Hg 3.26, 4 Pb 3.26
Hg: 0.2500 0.2500 0.2500 [4 per cell]  4 Th 3.26, 4 Mg 3.26
Pb: 0.2500 0.2500 0.7500 [4 per cell]  4 Th 3.26, 4 Mg 3.26

Summary:
Density (g/cm³): 10.34
Energy above the lowest structure with this stoichiometry (eV/f.u.): 0.280
ΔH_f (0 K) (eV per formula unit): -0.71

***

(6)
# ThMgHgPb

Crystalline ThMgHgPb at its relaxed geometry (GGA-PBE, Alexandria).

Unit cell a=4.4776 b=4.7929 c=5.0195 alpha=90.00 beta=90.00 gamma=90.00
With the nearest neighbours (Å) after each atom.
Space group Pmmm (No. 47)
Inequivalent atoms, fractional coordinates:
Th: 0.0000 0.0000 0.0000 [1 per cell]  4 Pb 3.28, 4 Hg 3.36, 4 Mg 3.47
Mg: 0.0000 0.5000 0.5000 [1 per cell]  4 Hg 3.28, 4 Pb 3.36, 4 Th 3.47
Hg: 0.5000 0.0000 0.5000 [1 per cell]  4 Mg 3.28, 4 Th 3.36, 4 Pb 3.47
Pb: 0.5000 0.5000 0.0000 [1 per cell]  4 Th 3.28, 4 Mg 3.36, 4 Hg 3.47

Summary:
Density (g/cm³): 10.24
Energy above the lowest structure with this stoichiometry (eV/f.u.): 0.000
ΔH_f (0 K) (eV per formula unit): -0.99

***

(7)
# Mg5Tl2HgPb2

Crystalline Mg5Tl2HgPb2 at its relaxed geometry (GGA-PBE, Alexandria).

Unit cell a=12.1992 b=12.1992 c=3.4887 alpha=90.00 beta=90.00 gamma=90.00
With the nearest neighbours (Å) after each atom.
Space group P4/mbm (No. 127)
Inequivalent atoms, fractional coordinates:
Mg: 0.0000 0.5000 0.0000 [2 per cell]  4 Pb 3.14, 4 Tl 3.26, 2 Mg 3.49
Mg: 0.0009 0.1971 0.0000 [8 per cell]  2 Hg 2.97, 2 Pb 3.14, 2 Tl 3.15
Tl: 0.1595 0.6595 0.5000 [4 per cell]  6 Mg 3.15-3.26, 1 Pb 3.26, 2 Tl 3.49
Hg: 0.0000 0.0000 0.5000 [2 per cell]  8 Mg 2.97
Pb: 0.1513 0.3487 0.5000 [4 per cell]  6 Mg 3.14, 1 Tl 3.26, 2 Pb 3.49

Summary:
Density (g/cm³): 7.33
ΔH_f (0 K) (eV per formula unit): -0.42

***

(8)
# MgZnHgPb

Crystalline MgZnHgPb at its relaxed geometry (GGA-PBE, Alexandria).

Unit cell a=7.1631 b=7.1631 c=7.1631 alpha=90.00 beta=90.00 gamma=90.00
With the nearest neighbours (Å) after each atom.
Space group F-43m (No. 216)
Inequivalent atoms, fractional coordinates:
Mg: 0.0000 0.0000 0.0000 [4 per cell]  4 Hg 3.10, 4 Pb 3.10
Zn: 0.0000 0.0000 0.5000 [4 per cell]  4 Hg 3.10, 4 Pb 3.10
Hg: 0.2500 0.2500 0.2500 [4 per cell]  4 Mg 3.10, 4 Zn 3.10
Pb: 0.2500 0.2500 0.7500 [4 per cell]  4 Mg 3.10, 4 Zn 3.10

Summary:
Density (g/cm³): 8.99
ΔH_f (0 K) (eV per formula unit): 0.21